VASP calculation (PBE) on crystalline TeRu2W at its relaxed geometry.

```
TeRu2W
1.0
-1.393 -2.742 -0.045
2.696 -1.310 -3.634
3.068 -1.606 2.855
Ru Te W
2 1 1
Direct
0.000 0.000 0.000
0.500 0.500 0.000
0.500 0.000 0.500
0.000 0.500 0.500
```

Energy relative to the elements, uncorrected = 0.5157 eV/atom
Calculated volume = 16.3 Å³/atom
Density of states at the Fermi level = 3.94 states/eV/cell